Entry 1:
A plane-wave DFT calculation with PBE was carried out for an optimized crystal structure of Rb2TlWCl6.

a b c (Å): 7.3294 10.9297 8.4790
angles (deg): 90.00 90.00 90.00
Fractional coordinates of all 20 atoms:
Rb1 0.2500 0.0342 0.1884
Rb2 0.2500 0.4658 0.1884
Rb3 0.7500 0.5342 0.8116
Rb4 0.7500 0.9658 0.8116
Tl1 0.2500 0.2500 0.6930
Tl2 0.7500 0.7500 0.3070
W1 0.2500 0.7500 0.7986
W2 0.7500 0.2500 0.2014
Cl1 0.0094 0.7500 0.5982
Cl2 0.0172 0.7500 0.0087
Cl3 0.2500 0.5251 0.7998
Cl4 0.2500 0.9749 0.7998
Cl5 0.4828 0.7500 0.0087
Cl6 0.4906 0.7500 0.5982
Cl7 0.5094 0.2500 0.4018
Cl8 0.5172 0.2500 0.9913
Cl9 0.7500 0.0251 0.2002
Cl10 0.7500 0.4749 0.2002
Cl11 0.9828 0.2500 0.9913
Cl12 0.9906 0.2500 0.4018

Calculated values
The formation energy from raw total energies comes out at -119.6 kJ/mol of atoms. Its relative energy among the computed polymorphs is 0 kJ/mol of formula units.

Entry 2:
A plane-wave DFT calculation with PBE was carried out for an optimized crystal structure of K2BiPbF.

a b c (Å): 5.0957 5.0957 5.7363
angles (deg): 90.00 90.00 90.00
Fractional coordinates of all 5 atoms:
K1 0.0000 0.5000 0.0000
K2 0.5000 0.0000 0.0000
Bi1 0.0000 0.0000 0.5000
Pb1 0.5000 0.5000 0.5000
F1 0.5000 0.5000 0.0000

Calculated values
The formation energy from raw total energies comes out at -102.0 kJ/mol of atoms.

Entry 3:
A plane-wave DFT calculation with PBE was carried out for an optimized crystal structure of Mn3SiN4.

a b c (Å): 6.4675 5.4825 4.5083
angles (deg): 90.00 90.00 90.00
Fractional coordinates of all 16 atoms:
Mn1 0.0000 0.2294 0.0000
Mn2 0.2242 0.6409 0.9963
Mn3 0.2758 0.3591 0.4963
Mn4 0.5000 0.7706 0.5000
Mn5 0.7242 0.3591 0.4963
Mn6 0.7758 0.6409 0.9963
Si1 0.0000 0.8727 0.5256
Si2 0.5000 0.1273 0.0256
N1 0.0000 0.1804 0.4219
N2 0.0000 0.8738 0.9138
N3 0.2139 0.7024 0.4188
N4 0.2861 0.2976 0.9188
N5 0.5000 0.1262 0.4138
N6 0.5000 0.8196 0.9219
N7 0.7139 0.2976 0.9188
N8 0.7861 0.7024 0.4188

Calculated values
The formation energy from raw total energies comes out at -31.6 kJ/mol of atoms.

Entry 4:
A plane-wave DFT calculation with PBE was carried out for an optimized crystal structure of NbTlV2Ga.

a b c (Å): 4.9012 4.9012 4.7010
angles (deg): 90.00 90.00 90.00
Fractional coordinates of all 5 atoms:
Nb1 0.0000 0.0000 0.0000
Tl1 0.5000 0.5000 0.5000
V1 0.0000 0.5000 0.5000
V2 0.5000 0.0000 0.5000
Ga1 0.5000 0.5000 0.0000

Calculated values
Its calculated formation energy is 1957 meV/atom.

Entry 5:
A plane-wave DFT calculation with PBE was carried out for an optimized crystal structure of SrBeF3.

a b c (Å): 4.0103 4.0103 4.0103
angles (deg): 90.00 90.00 90.00
Fractional coordinates of all 5 atoms:
Sr1 0.0000 0.0000 0.0000
Be1 0.5000 0.5000 0.5000
F1 0.0000 0.5000 0.5000
F2 0.5000 0.0000 0.5000
F3 0.5000 0.5000 0.0000

Calculated values
The formation energy from raw total energies comes out at -240.9 kJ/mol of atoms. Its relative energy among the computed polymorphs is 0 kJ/mol of formula units.

Entry 6:
A plane-wave DFT calculation with PBE was carried out for an optimized crystal structure of NdEuPb.

a b c (Å): 6.0417 6.0417 6.0417
angles (deg): 138.44 138.44 60.23
Fractional coordinates of all 3 atoms:
Nd1 0.0000 0.0000 0.0000
Eu1 0.6915 0.6915 0.0000
Pb1 0.3517 0.3517 0.0000

Calculated values
Its calculated formation energy is -332 meV/atom. Its relative energy among the computed polymorphs is 0 kJ/mol of formula units.

Entry 7:
A plane-wave DFT calculation with PBE was carried out for an optimized crystal structure of In2AgPd2.

a b c (Å): 7.1658 7.1658 7.1658
angles (deg): 147.83 147.83 46.13
Fractional coordinates of all 5 atoms:
In1 0.1092 0.1092 0.0000
In2 0.8908 0.8908 0.0000
Ag1 0.5000 0.5000 0.0000
Pd1 0.2500 0.7500 0.5000
Pd2 0.7500 0.2500 0.5000

Calculated values
Its calculated formation energy is -116 meV/atom. Its relative energy among the computed polymorphs is 120 kJ/mol of formula units.

Entry 8:
A plane-wave DFT calculation with PBE was carried out for an optimized crystal structure of AcNd4Mg.

a b c (Å): 6.5350 7.1792 9.5839
angles (deg): 90.00 109.28 90.00
Fractional coordinates of all 12 atoms:
Ac1 0.1634 0.2500 0.3618
Ac2 0.8366 0.7500 0.6382
Nd1 0.1835 0.7500 0.3628
Nd2 0.1845 0.2500 0.9922
Nd3 0.3680 0.0017 0.7197
Nd4 0.3680 0.4983 0.7197
Nd5 0.6320 0.5017 0.2803
Nd6 0.6320 0.9983 0.2803
Nd7 0.8155 0.7500 0.0078
Nd8 0.8165 0.2500 0.6372
Mg1 0.3049 0.7500 0.0015
Mg2 0.6951 0.2500 0.9985

Calculated values
Its calculated formation energy is 60 meV/atom. Its relative energy among the computed polymorphs is 44 kJ/mol of formula units.

Entry 9:
A plane-wave DFT calculation with PBE was carried out for an optimized crystal structure of Th4OsAuS2.

a b c (Å): 7.1666 4.1322 7.4418
angles (deg): 90.00 108.53 90.00
Fractional coordinates of all 8 atoms:
Th1 0.2306 0.0000 0.2507
Th2 0.2326 0.5000 0.7364
Th3 0.7674 0.5000 0.2636
Th4 0.7694 0.0000 0.7493
Os1 0.0000 0.0000 0.5000
Au1 0.5000 0.5000 0.5000
S1 0.0000 0.5000 0.0000
S2 0.5000 0.0000 0.0000

Calculated values
The formation energy from raw total energies comes out at -105.0 kJ/mol of atoms.

Entry 10:
A plane-wave DFT calculation with PBE was carried out for an optimized crystal structure of SrLiCo3.

a b c (Å): 4.9242 4.9242 4.9242
angles (deg): 90.00 90.00 90.00
Fractional coordinates of all 5 atoms:
Sr1 0.0000 0.0000 0.0000
Li1 0.5000 0.5000 0.5000
Co1 0.0000 0.0000 0.5000
Co2 0.0000 0.5000 0.0000
Co3 0.5000 0.0000 0.0000

Calculated values
Its calculated formation energy is 2003 meV/atom. Its relative energy among the computed polymorphs is 530 kJ/mol of formula units.

Entry 11:
A plane-wave DFT calculation with PBE was carried out for an optimized crystal structure of LaPmHo2.

a b c (Å): 11.8514 11.8514 11.8514
angles (deg): 17.57 17.57 17.57
Fractional coordinates of all 4 atoms:
La1 0.0000 0.0000 0.0000
Pm1 0.5000 0.5000 0.5000
Ho1 0.2491 0.2491 0.2491
Ho2 0.7509 0.7509 0.7509

Calculated values
Its calculated formation energy is 14 meV/atom. Its relative energy among the computed polymorphs is 0 kJ/mol of formula units.

Entry 12:
A plane-wave DFT calculation with PBE was carried out for an optimized crystal structure of HgAsWSe2.

a b c (Å): 4.9337 4.9337 5.0555
angles (deg): 90.00 90.00 90.00
Fractional coordinates of all 5 atoms:
Hg1 0.0000 0.0000 0.0000
As1 0.5000 0.5000 0.0000
W1 0.5000 0.5000 0.5000
Se1 0.0000 0.5000 0.5000
Se2 0.5000 0.0000 0.5000

Calculated values
The formation energy from raw total energies comes out at 28.6 kJ/mol of atoms. Its relative energy among the computed polymorphs is 0 kJ/mol of formula units.

Entry 13:
A plane-wave DFT calculation with PBE was carried out for an optimized crystal structure of IrIBr2.

a b c (Å): 6.6196 6.6196 6.9870
angles (deg): 91.25 91.25 119.48
Fractional coordinates of all 8 atoms:
Ir1 0.1654 0.8346 0.0000
Ir2 0.8346 0.1654 0.0000
I1 0.4900 0.8361 0.7851
I2 0.8361 0.4900 0.7851
Br1 0.1396 0.1396 0.8083
Br2 0.1467 0.5114 0.1987
Br3 0.5114 0.1467 0.1987
Br4 0.8734 0.8734 0.2067

Calculated values
The formation energy from raw total energies comes out at -20.5 kJ/mol of atoms. Its relative energy among the computed polymorphs is 0 kJ/mol of formula units.

Entry 14:
A plane-wave DFT calculation with PBE was carried out for an optimized crystal structure of HfMnCr2S6.

a b c (Å): 6.6373 6.6373 6.6373
angles (deg): 54.90 54.90 54.90
Fractional coordinates of all 10 atoms:
Hf1 0.0000 0.0000 0.0000
Mn1 0.4977 0.4977 0.4977
Cr1 0.1839 0.1839 0.1839
Cr2 0.6837 0.6837 0.6837
S1 0.0781 0.7837 0.4233
S2 0.2883 0.5757 0.9146
S3 0.4233 0.0781 0.7837
S4 0.5757 0.9146 0.2883
S5 0.7837 0.4233 0.0781
S6 0.9146 0.2883 0.5757

Calculated values
The formation energy from raw total energies comes out at -85.0 kJ/mol of atoms.

no.,spin magnetization (μB per cell)
1,6.00
2,0.00
3,14.66
4,0.00
5,0.00
6,8.26
7,0.00
8,0.00
9,0.00
10,4.21
11,0.00
12,0.00
13,0.00
14,0.97